The following is a DFT calculation (GGA-PBE) of a geometry-optimized Pm4Er4Tm3 structure.

Spin magnetization (μB/atom): 0.00
Energy relative to the lowest polymorph listed for this composition (eV per formula unit): 0.00
ΔE_f (meV/atom): 52.1

a = 37.279 Å, b = 5.405 Å, c = 3.495 Å
α = 90.00°, β = 95.36°, γ = 90.00°
Space group C2/m (No. 12)
Inequivalent atoms, fractional coordinates:
Pm: 0.096 0.000 0.099 (multiplicity 4)
Pm: 0.222 0.500 0.223 (multiplicity 4)
Er: 0.045 0.500 0.546 (multiplicity 4)
Er: 0.183 0.000 0.684 (multiplicity 4)
Tm: 0.000 0.000 0.000 (multiplicity 2)
Tm: 0.136 0.500 0.638 (multiplicity 4)

---

The following is a DFT calculation (GGA-PBE) of a geometry-optimized Pu2CdIn2 structure.

Spin magnetization (μB/atom): 2.46
ΔE_f (meV/atom): 73.9

a = 5.167 Å, b = 11.597 Å, c = 4.722 Å
α = 90.00°, β = 90.00°, γ = 90.00°
Space group Cmmm (No. 65)
Inequivalent atoms, fractional coordinates:
Pu: 0.000 0.162 0.000 (multiplicity 4)
Cd: 0.000 0.500 0.000 (multiplicity 2)
In: 0.000 0.351 0.500 (multiplicity 4)

---

The following is a DFT calculation (GGA-PBE) of a geometry-optimized Bi3SbS structure.

Spin magnetization (μB/atom): 0.31
Energy relative to the lowest polymorph listed for this composition (eV per formula unit): 2.85
ΔE_f (raw) (eV/atom): 1.003

a = 5.835 Å, b = 5.835 Å, c = 5.835 Å
α = 90.00°, β = 90.00°, γ = 90.00°
Space group Pm-3m (No. 221)
Inequivalent atoms, fractional coordinates:
Bi: 0.000 0.000 0.500 (multiplicity 3)
Sb: 0.000 0.000 0.000 (multiplicity 1)
S: 0.500 0.500 0.500 (multiplicity 1)

---

The following is a DFT calculation (GGA-PBE) of a geometry-optimized TcAsCl2 structure.

Spin magnetization (μB/atom): 0.24
Energy relative to the lowest polymorph listed for this composition (eV per formula unit): 1.35
ΔE_f (raw) (eV/atom): 0.123

a = 3.006 Å, b = 4.740 Å, c = 12.367 Å
α = 90.00°, β = 90.00°, γ = 90.00°
Space group Imm2 (No. 44)
Inequivalent atoms, fractional coordinates:
Tc: 0.000 0.000 0.000 (multiplicity 2)
As: 0.000 0.500 0.658 (multiplicity 2)
Cl: 0.000 0.000 0.512 (multiplicity 2)
Cl: 0.000 0.500 0.336 (multiplicity 2)

---

The following is a DFT calculation (GGA-PBE) of a geometry-optimized ReAs2Ru structure.

Spin magnetization (μB/atom): 0.00
Energy relative to the lowest polymorph listed for this composition (eV per formula unit): 1.75
ΔE_f (meV/atom): 461.2

a = 3.979 Å, b = 3.979 Å, c = 7.739 Å
α = 90.00°, β = 90.00°, γ = 90.00°
Space group I-4m2 (No. 119)
Inequivalent atoms, fractional coordinates:
Re: 0.000 0.000 0.000 (multiplicity 2)
As: 0.000 0.000 0.500 (multiplicity 2)
As: 0.000 0.500 0.250 (multiplicity 2)
Ru: 0.000 0.500 0.750 (multiplicity 2)

---

The following is a DFT calculation (GGA-PBE) of a geometry-optimized CsSmScS3 structure.

Spin magnetization (μB/atom): 0.00
ΔE_f (raw) (eV/atom): -1.708

a = 9.373 Å, b = 4.332 Å, c = 10.264 Å
α = 90.00°, β = 110.42°, γ = 90.00°
Space group P2_1/m (No. 11)
Inequivalent atoms, fractional coordinates:
Cs: 0.215 0.250 0.227 (multiplicity 2)
Sm: 0.338 0.750 0.866 (multiplicity 2)
Sc: 0.089 0.250 0.610 (multiplicity 2)
S: 0.129 0.250 0.858 (multiplicity 2)
S: 0.187 0.750 0.557 (multiplicity 2)
S: 0.475 0.750 0.150 (multiplicity 2)

---

The following is a DFT calculation (GGA-PBE) of a geometry-optimized V6Cr5Ir structure.

Spin magnetization (μB/atom): 0.00
ΔE_f (meV/atom): -220.5

a = 4.154 Å, b = 5.872 Å, c = 12.441 Å
α = 90.00°, β = 90.00°, γ = 90.00°
Space group Immm (No. 71)
Inequivalent atoms, fractional coordinates:
V: 0.000 0.240 0.000 (multiplicity 4)
V: 0.000 0.254 0.330 (multiplicity 8)
Cr: 0.000 0.000 0.167 (multiplicity 4)
Cr: 0.000 0.500 0.166 (multiplicity 4)
Cr: 0.000 0.500 0.500 (multiplicity 2)
Ir: 0.000 0.000 0.500 (multiplicity 2)

---

The following is a DFT calculation (GGA-PBE) of a geometry-optimized ZrPIr structure.

Spin magnetization (μB/atom): 0.00
ΔE_f (meV/atom): -860.5

a = 7.248 Å, b = 12.411 Å, c = 6.763 Å
α = 90.00°, β = 90.00°, γ = 90.00°
Space group Ama2 (No. 40)
Inequivalent atoms, fractional coordinates:
Zr: 0.250 0.024 0.000 (multiplicity 4)
Zr: 0.250 0.203 0.398 (multiplicity 4)
Zr: 0.250 0.309 0.977 (multiplicity 4)
P: 0.000 0.000 0.364 (multiplicity 4)
P: 0.019 0.156 0.776 (multiplicity 8)
Ir: 0.041 0.346 0.637 (multiplicity 8)
Ir: 0.250 0.032 0.597 (multiplicity 4)